(1)
# ZnGa2Re2

A relaxed ZnGa2Re2 crystal (PBE, Alexandria via LeMat-Bulk).

Unit cell a=6.7083 b=6.7083 c=3.4987 alpha=90.00 beta=90.00 gamma=90.00
Fractional positions:
Re (0.3604, 0.8604, 0.0000)
Re (0.6396, 0.1396, 0.0000)
Re (0.8604, 0.6396, 0.0000)
Re (0.1396, 0.3604, 0.0000)
Ga (0.6585, 0.8415, 0.5000)
Ga (0.1585, 0.6585, 0.5000)
Ga (0.3415, 0.1585, 0.5000)
Ga (0.8415, 0.3415, 0.5000)
Zn (0.0000, 0.0000, 0.0000)
Zn (0.5000, 0.5000, 0.0000)

---

(2)
# BeAgOs2

A relaxed BeAgOs2 crystal (PBE, Alexandria via LeMat-Bulk).

Unit cell a=2.7703 b=4.4873 c=4.5987 alpha=90.00 beta=90.00 gamma=90.00
Fractional positions:
Os (0.5000, 0.5000, 0.0000)
Os (0.0000, 0.0000, 0.0000)
Ag (0.5000, 0.0000, 0.5000)
Be (0.0000, 0.5000, 0.5000)

---

(3)
# Ac2Hg17

A relaxed Ac2Hg17 crystal (PBE, Alexandria via LeMat-Bulk).

Unit cell a=8.4940 b=8.4940 c=8.4940 alpha=70.64 beta=70.64 gamma=70.64
Fractional positions:
Hg (0.0000, 0.7035, 0.2965)
Hg (0.5837, 0.5837, 0.1828)
Hg (0.4163, 0.4163, 0.8172)
Hg (0.7035, 0.2965, 0.0000)
Hg (0.0000, 0.5000, 0.0000)
Hg (0.5837, 0.1828, 0.5837)
Hg (0.2965, 0.7035, 0.0000)
Hg (0.1003, 0.1003, 0.1003)
Hg (0.8172, 0.4163, 0.4163)
Hg (0.2965, 0.0000, 0.7035)
Hg (0.1828, 0.5837, 0.5837)
Hg (0.0000, 0.0000, 0.5000)
Hg (0.8997, 0.8997, 0.8997)
Hg (0.4163, 0.8172, 0.4163)
Hg (0.0000, 0.2965, 0.7035)
Hg (0.7035, 0.0000, 0.2965)
Hg (0.5000, 0.0000, 0.0000)
Ac (0.2882, 0.2882, 0.2882)
Ac (0.7118, 0.7118, 0.7118)

---

| no. | VASP energy (eV/atom) | E_form (eV/f.u.) |
| --- | --- | --- |
| 1 | -6.180 | 1.326 |
| 2 | -6.649 | 2.442 |
| 3 | -0.851 | -2.815 |